First-principles (PBE-GGA) data for an optimized crystal structure of SrGa2Bi, as listed in Alexandria.

Results
The calculation puts the size of the total moment at 0.00 μB per formula unit. The calculation puts the electronic total energy at -3.23 eV per atom.

a b c (Å): 4.773 4.773 4.772
angles (deg): 90.00 90.00 90.00
Element x y z (fractional)
1 Sr 0.000 0.000 0.000
2 Ga 0.000 0.500 0.500
3 Ga 0.500 0.000 0.500
4 Bi 0.500 0.500 0.000